1.
Density functional theory data (PBE-GGA) for an optimized crystal structure of TlAg2.

Cell lengths 4.9665, 4.9665, 5.9737 Å; angles 90.00, 90.00, 120.00 degrees
Space group P6_3/mmc (No. 194)
Inequivalent atoms, fractional coordinates:
Tl1 0.3333 0.6667 0.2500 (multiplicity 2)
Ag1 0.0000 0.0000 0.0000 (multiplicity 2)
Ag2 0.3333 0.6667 0.7500 (multiplicity 2)

**N(E_F)**: 2.2 states/eV per cell
**VASP energy**: -2.53 eV/atom
**Energy above the lowest structure with this stoichiometry**: 71 meV per atom
**Crystal system**: hexagonal
**Magnetization**: 0.0 μB/f.u.
**Energy of formation**: 0.160 eV/atom

2.
Density functional theory data (PBE-GGA) for an optimized crystal structure of Tl2Ag.

Cell lengths 7.048, 7.048, 7.048 Å; angles 90.00, 90.00, 90.00 degrees
Space group Pa-3 (No. 205)
Inequivalent atoms, fractional coordinates:
Tl1 0.137 0.137 0.137 (multiplicity 8)
Ag1 0.000 0.000 0.500 (multiplicity 4)

**N(E_F)**: 5.1 states/eV per cell
**VASP energy**: -2.38 eV/atom
**Crystal system**: cubic
**Magnetization**: 0.0 μB/f.u.
**Energy of formation**: 0.147 eV/atom

3.
Density functional theory data (PBE-GGA) for an optimized crystal structure of Tl5Ag.

Cell lengths 12.212, 3.472, 8.546 Å; angles 90.00, 108.85, 90.00 degrees
Space group Cm (No. 8)
Inequivalent atoms, fractional coordinates:
Tl1 0.000 0.000 0.000 (multiplicity 2)
Tl2 0.008 0.000 0.404 (multiplicity 2)
Tl3 0.155 0.500 0.760 (multiplicity 2)
Tl4 0.292 0.000 0.117 (multiplicity 2)
Tl5 0.357 0.000 0.627 (multiplicity 2)
Ag1 0.197 0.500 0.341 (multiplicity 2)

**N(E_F)**: 4.4 states/eV per cell
**VASP energy**: -2.38 eV/atom
**Energy above the lowest structure with this stoichiometry**: 0 meV per atom
**Crystal system**: monoclinic
**Magnetization**: 0.0 μB/f.u.
**Energy of formation**: 0.067 eV/atom

4.
Density functional theory data (PBE-GGA) for an optimized crystal structure of Tl2Ag.

Cell lengths 5.4822, 5.4822, 3.1000 Å; angles 90.00, 90.00, 120.00 degrees
Space group P6/mmm (No. 191)
Inequivalent atoms, fractional coordinates:
Tl1 0.3333 0.6667 0.0000 (multiplicity 2)
Ag1 0.0000 0.0000 0.5000 (multiplicity 1)

**N(E_F)**: 1.9 states/eV per cell
**VASP energy**: -2.30 eV/atom
**Crystal system**: hexagonal
**Magnetization**: 0.0 μB/f.u.
**Energy of formation**: 0.224 eV/atom

5.
Density functional theory data (PBE-GGA) for an optimized crystal structure of Tl2Ag.

Cell lengths 3.516, 3.516, 12.780 Å; angles 90.00, 90.00, 90.00 degrees
Space group I4/mmm (No. 139)
Inequivalent atoms, fractional coordinates:
Tl1 0.000 0.000 0.149 (multiplicity 4)
Ag1 0.000 0.000 0.500 (multiplicity 2)

**N(E_F)**: 2.9 states/eV per cell
**VASP energy**: -2.43 eV/atom
**Crystal system**: tetragonal
**Magnetization**: 0.0 μB/f.u.
**Energy of formation**: 0.095 eV/atom

6.
Density functional theory data (PBE-GGA) for an optimized crystal structure of TlAg5.

Cell lengths 10.856, 3.108, 7.197 Å; angles 90.00, 106.89, 90.00 degrees
Space group Cm (No. 8)
Inequivalent atoms, fractional coordinates:
Tl1 0.000 0.000 0.000 (multiplicity 2)
Ag1 0.127 0.500 0.732 (multiplicity 2)
Ag2 0.173 0.500 0.347 (multiplicity 2)
Ag3 0.284 0.000 0.084 (multiplicity 2)
Ag4 0.336 0.000 0.659 (multiplicity 2)
Ag5 0.457 0.500 0.412 (multiplicity 2)

**N(E_F)**: 2.6 states/eV per cell
**VASP energy**: -2.69 eV/atom
**Energy above the lowest structure with this stoichiometry**: 4 meV per atom
**Crystal system**: monoclinic
**Magnetization**: 0.0 μB/f.u.
**Energy of formation**: 0.077 eV/atom

7.
Density functional theory data (PBE-GGA) for an optimized crystal structure of Tl3Ag.

Cell lengths 7.779, 9.162, 6.270 Å; angles 90.00, 90.00, 90.00 degrees
Space group Pnma (No. 62)
Inequivalent atoms, fractional coordinates:
Tl1 0.020 0.250 0.101 (multiplicity 4)
Tl2 0.188 0.050 0.640 (multiplicity 8)
Ag1 0.109 0.750 0.438 (multiplicity 4)

**N(E_F)**: 7.1 states/eV per cell
**VASP energy**: -2.41 eV/atom
**Energy above the lowest structure with this stoichiometry**: 7 meV per atom
**Crystal system**: orthorhombic
**Magnetization**: 0.0 μB/f.u.
**Energy of formation**: 0.078 eV/atom

8.
Density functional theory data (PBE-GGA) for an optimized crystal structure of Tl3Ag.

Cell lengths 3.5847, 3.5847, 29.8750 Å; angles 90.00, 90.00, 120.00 degrees
Space group R-3m (No. 166, hexagonal axes)
Inequivalent atoms, fractional coordinates:
Tl1 0.0000 0.0000 0.0000 (multiplicity 3)
Tl2 0.0000 0.0000 0.2409 (multiplicity 6)
Ag1 0.0000 0.0000 0.5000 (multiplicity 3)

**N(E_F)**: 7.1 states/eV per cell
**VASP energy**: -2.39 eV/atom
**Energy above the lowest structure with this stoichiometry**: 29 meV per atom
**Crystal system**: trigonal
**Magnetization**: 0.0 μB/f.u.
**Energy of formation**: 0.099 eV/atom

9.
Density functional theory data (PBE-GGA) for an optimized crystal structure of Tl2Ag.

Cell lengths 6.280, 7.836, 3.349 Å; angles 90.00, 90.00, 90.00 degrees
Space group Pnnm (No. 58)
Inequivalent atoms, fractional coordinates:
Tl1 0.095 0.190 0.000 (multiplicity 4)
Ag1 0.000 0.500 0.500 (multiplicity 2)

**N(E_F)**: 2.2 states/eV per cell
**VASP energy**: -2.39 eV/atom
**Crystal system**: orthorhombic
**Magnetization**: 0.0 μB/f.u.
**Energy of formation**: 0.137 eV/atom

10.
Density functional theory data (PBE-GGA) for an optimized crystal structure of Tm5TlAg4.

Cell lengths 3.573, 3.573, 18.612 Å; angles 90.00, 90.00, 90.00 degrees
Space group P4/mmm (No. 123)
Inequivalent atoms, fractional coordinates:
Tm1 0.000 0.000 0.000 (multiplicity 1)
Tm2 0.000 0.000 0.195 (multiplicity 2)
Tm3 0.000 0.000 0.388 (multiplicity 2)
Tl1 0.500 0.500 0.500 (multiplicity 1)
Ag1 0.500 0.500 0.097 (multiplicity 2)
Ag2 0.500 0.500 0.292 (multiplicity 2)

**N(E_F)**: 5.5 states/eV per cell
**VASP energy**: -3.95 eV/atom
**Crystal system**: tetragonal
**Magnetization**: 0.0 μB/f.u.
**Energy of formation**: -0.334 eV/atom

11.
Density functional theory data (PBE-GGA) for an optimized crystal structure of Tm3Tl2Ag.

Cell lengths 3.569, 3.569, 11.934 Å; angles 90.00, 90.00, 90.00 degrees
Space group P4/mmm (No. 123)
Inequivalent atoms, fractional coordinates:
Tm1 0.000 0.000 0.000 (multiplicity 1)
Tm2 0.000 0.000 0.350 (multiplicity 2)
Tl1 0.500 0.500 0.175 (multiplicity 2)
Ag1 0.500 0.500 0.500 (multiplicity 1)

**N(E_F)**: 2.3 states/eV per cell
**VASP energy**: -3.82 eV/atom
**Crystal system**: tetragonal
**Magnetization**: 0.1 μB/f.u.
**Energy of formation**: -0.318 eV/atom

12.
Density functional theory data (PBE-GGA) for an optimized crystal structure of Tm5Tl2Ag.

Cell lengths 6.836, 6.836, 8.974 Å; angles 90.00, 90.00, 90.00 degrees
Space group I4mm (No. 107)
Inequivalent atoms, fractional coordinates:
Tm1 0.000 0.000 0.000 (multiplicity 2)
Tm2 0.250 0.250 0.250 (multiplicity 8)
Tl1 0.000 0.500 0.000 (multiplicity 4)
Ag1 0.000 0.000 0.498 (multiplicity 2)

**N(E_F)**: 19.3 states/eV per cell
**VASP energy**: -3.91 eV/atom
**Crystal system**: tetragonal
**Magnetization**: 0.0 μB/f.u.
**Energy of formation**: -0.168 eV/atom